# 1
# Sm4Cd2Pb (PBE, optimized geometry)
# formation energy from the elements	-19	kJ per mole of atoms
# theoretical density	8.01	g/cm3
# D(E_F)	1.55	states/eV per atom
# DFT total energy	-3.69	eV/atom
# space-group type	R-3m
data_Sm4Cd2Pb
_chemical_formula_sum 'Sm4 Cd2 Pb1'
_cell_length_a 5.3398
_cell_length_b 5.3398
_cell_length_c 9.2109
_cell_angle_alpha 73.15
_cell_angle_beta 73.15
_cell_angle_gamma 60.00
_space_group_name_H-M_alt 'P 1'
_space_group_IT_number 1
loop_
_space_group_symop_operation_xyz
'x,y,z'
loop_
_atom_site_label
_atom_site_type_symbol
_atom_site_fract_x
_atom_site_fract_y
_atom_site_fract_z
_atom_site_occupancy
Sm1 Sm 0.1305 0.1305 0.6086 1
Sm2 Sm 0.8695 0.8695 0.3914 1
Sm3 Sm 0.6167 0.6167 0.1499 1
Sm4 Sm 0.3833 0.3833 0.8501 1
Cd1 Cd 0.7489 0.7489 0.7532 1
Cd2 Cd 0.2511 0.2511 0.2468 1
Pb1 Pb 0.0000 0.0000 0.0000 1

# 2
# Ho2ZnGa2Rh5 (PBE, optimized geometry)
# formation energy from the elements	-71	kJ per mole of atoms
# theoretical density	10.43	g/cm3
# D(E_F)	0.47	states/eV per atom
# DFT total energy	-6.06	eV/atom
# space-group type	P4/mbm
data_Ho2ZnGa2Rh5
_chemical_formula_sum 'Ho4 Zn2 Ga4 Rh10'
_cell_length_a 3.4935
_cell_length_b 9.7806
_cell_length_c 9.7806
_cell_angle_alpha 90.00
_cell_angle_beta 90.00
_cell_angle_gamma 90.00
_space_group_name_H-M_alt 'P 1'
_space_group_IT_number 1
loop_
_space_group_symop_operation_xyz
'x,y,z'
loop_
_atom_site_label
_atom_site_type_symbol
_atom_site_fract_x
_atom_site_fract_y
_atom_site_fract_z
_atom_site_occupancy
Ga1 Ga 0.0000 0.6267 0.8733 1
Ga2 Ga 0.0000 0.8733 0.3733 1
Ga3 Ga 0.0000 0.3733 0.1267 1
Ga4 Ga 0.0000 0.1267 0.6267 1
Rh1 Rh 0.5000 0.2990 0.5664 1
Rh2 Rh 0.5000 0.7990 0.9336 1
Rh3 Rh 0.5000 0.4336 0.2990 1
Rh4 Rh 0.5000 0.7010 0.4336 1
Rh5 Rh 0.5000 0.2010 0.0664 1
Rh6 Rh 0.5000 0.0000 0.5000 1
Rh7 Rh 0.5000 0.5664 0.7010 1
Rh8 Rh 0.5000 0.5000 0.0000 1
Rh9 Rh 0.5000 0.0664 0.7990 1
Rh10 Rh 0.5000 0.9336 0.2010 1
Ho1 Ho 0.0000 0.3271 0.8271 1
Ho2 Ho 0.0000 0.6729 0.1729 1
Ho3 Ho 0.0000 0.8271 0.6729 1
Ho4 Ho 0.0000 0.1729 0.3271 1
Zn1 Zn 0.0000 0.5000 0.5000 1
Zn2 Zn 0.0000 0.0000 0.0000 1